Computed, not measured: crystalline Ce4DyPu3S8 at its relaxed geometry at the PBE level of DFT.

- ΔE_f (raw): -168 kJ per mole of atoms
- Space group: C2/m
- Size of the total moment: 22.53 μB per formula unit
- Calculated volume: 375.3 Å³/f.u.

abc: 7.8940 6.9539 10.5138
angles: 131.34 112.05 90.00
Site moments in Bohr magnetons follow the coordinates.
Element x y z (fractional)
Ce: 0.5000 0.0000 0.0000  1.07
Ce: 0.5000 0.0000 0.5000  1.01
Ce: 0.0000 0.0000 0.0000  0.95
Ce: 0.0000 0.0000 0.5000  1.01
Dy: 0.0000 0.5000 0.0000  0.09
Pu: 0.5000 0.5000 0.0000  5.45
Pu: 0.5000 0.5000 0.5000  5.49
Pu: 0.0000 0.5000 0.5000  5.49
S: 0.3281 0.9075 0.1636  -0.05
S: 0.3332 0.4194 0.6664  -0.08
S: 0.1645 0.5786 0.3290  -0.05
S: 0.8355 0.9075 0.1636  -0.05
S: 0.1645 0.0925 0.8364  -0.05
S: 0.8355 0.4214 0.6710  -0.05
S: 0.6668 0.5806 0.3336  -0.08
S: 0.6719 0.0925 0.8364  -0.05